(1)
Mn2AlBr | GGA-PBEsol | relaxed

Its energy relative to the elements, uncorrected is 498 meV per atom. For the energy above the lowest structure with this stoichiometry, the calculation gives 0.285 eV/atom. For the magnetic moment, the calculation gives 6.8 Bohr magnetons per cell. The calculation puts the density of states at the Fermi level at 2.36 states/eV per cell.

The structure belongs to space group Pmmm (No. 47); the cell edges are 3.021, 4.263 and 5.060 Å and the angles 90.00°, 90.00° and 90.00°. Symmetry generates all atoms from Mn at (0.000, 0.000, 0.000), Mn at (0.500, 0.000, 0.500), Al at (0.000, 0.500, 0.500) and Br at (0.500, 0.500, 0.000).

***

(2)
Mn2AlBr | GGA-PBEsol | relaxed

Its energy relative to the elements, uncorrected is 611 meV per atom. For the energy above the lowest structure with this stoichiometry, the calculation gives 0.398 eV/atom. For the magnetic moment, the calculation gives 23.8 Bohr magnetons per cell. The calculation puts the density of states at the Fermi level at 19.76 states/eV per cell.

The structure belongs to space group Fm-3m (No. 225); the cell edges are 6.259, 6.259 and 6.259 Å and the angles 90.00°, 90.00° and 90.00°. Symmetry generates all atoms from Mn at (0.250, 0.250, 0.250), Al at (0.000, 0.000, 0.000) and Br at (0.000, 0.000, 0.500).

***

(3)
Mn2AlBr | GGA-PBEsol | relaxed

Its energy relative to the elements, uncorrected is 213 meV per atom. For the energy above the lowest structure with this stoichiometry, the calculation gives 0.000 eV/atom. For the magnetic moment, the calculation gives 6.5 Bohr magnetons per cell. The calculation puts the density of states at the Fermi level at 2.76 states/eV per cell.

The structure belongs to space group Pmmm (No. 47); the cell edges are 3.074, 3.209 and 6.858 Å and the angles 90.00°, 90.00° and 90.00°. Symmetry generates all atoms from Mn at (0.000, 0.000, 0.197), Al at (0.500, 0.500, 0.000) and Br at (0.500, 0.000, 0.500).

***

(4)
MnAlBr | GGA-PBEsol | relaxed

Its energy relative to the elements, uncorrected is 925 meV per atom. For the magnetic moment, the calculation gives 13.6 Bohr magnetons per cell. The calculation puts the density of states at the Fermi level at 8.39 states/eV per cell.

The structure belongs to space group F-43m (No. 216); the cell edges are 6.280, 6.280 and 6.280 Å and the angles 90.00°, 90.00° and 90.00°. Symmetry generates all atoms from Mn at (0.000, 0.000, 0.000), Al at (0.000, 0.000, 0.500) and Br at (0.250, 0.250, 0.250).

***

(5)
Mn2AlBr | GGA-PBEsol | relaxed

Its energy relative to the elements, uncorrected is 595 meV per atom. For the energy above the lowest structure with this stoichiometry, the calculation gives 0.383 eV/atom. For the magnetic moment, the calculation gives 12.0 Bohr magnetons per cell. The calculation puts the density of states at the Fermi level at 5.13 states/eV per cell.

The structure belongs to space group I4/mmm (No. 139); the cell edges are 4.155, 4.155 and 7.015 Å and the angles 90.00°, 90.00° and 90.00°. Symmetry generates all atoms from Mn at (0.000, 0.500, 0.250), Al at (0.000, 0.000, 0.000) and Br at (0.000, 0.000, 0.500).

***

(6)
MnAl2SBr | GGA-PBEsol | relaxed

Its energy relative to the elements, uncorrected is 1038 meV per atom. For the magnetic moment, the calculation gives 3.9 Bohr magnetons per cell. The calculation puts the density of states at the Fermi level at 2.75 states/eV per cell.

The structure belongs to space group P4/mmm (No. 123); the cell edges are 5.267, 5.267 and 4.506 Å and the angles 90.00°, 90.00° and 90.00°. Symmetry generates all atoms from Mn at (0.000, 0.000, 0.000), Al at (0.000, 0.500, 0.500), S at (0.500, 0.500, 0.000) and Br at (0.000, 0.000, 0.500).

***

(7)
AlMo2Br | GGA-PBEsol | relaxed

Its energy relative to the elements, uncorrected is 344 meV per atom. For the energy above the lowest structure with this stoichiometry, the calculation gives 0.000 eV/atom. For the magnetic moment, the calculation gives 0.0 Bohr magnetons per cell. The calculation puts the density of states at the Fermi level at 5.01 states/eV per cell.

The structure belongs to space group Cmm2 (No. 35); the cell edges are 3.184, 4.981 and 8.596 Å and the angles 90.00°, 90.00° and 90.00°. Symmetry generates all atoms from Al at (0.000, 0.000, 0.000), Mo at (0.000, 0.000, 0.530), Mo at (0.000, 0.500, 0.757) and Br at (0.000, 0.500, 0.264).

***

(8)
AlMo2Br | GGA-PBEsol | relaxed

Its energy relative to the elements, uncorrected is 575 meV per atom. For the energy above the lowest structure with this stoichiometry, the calculation gives 0.231 eV/atom. For the magnetic moment, the calculation gives 0.0 Bohr magnetons per cell. The calculation puts the density of states at the Fermi level at 6.62 states/eV per cell.

The structure belongs to space group Cmmm (No. 65); the cell edges are 3.323, 4.596 and 8.490 Å and the angles 90.00°, 90.00° and 90.00°. Symmetry generates all atoms from Al at (0.000, 0.000, 0.000), Mo at (0.000, 0.500, 0.241) and Br at (0.000, 0.000, 0.500).

***

(9)
Al2MoBr | GGA-PBEsol | relaxed

Its energy relative to the elements, uncorrected is 233 meV per atom. For the energy above the lowest structure with this stoichiometry, the calculation gives 0.000 eV/atom. For the magnetic moment, the calculation gives 0.0 Bohr magnetons per cell. The calculation puts the density of states at the Fermi level at 3.77 states/eV per cell.

The structure belongs to space group P4mm (No. 99); the cell edges are 3.034, 3.034 and 7.804 Å and the angles 90.00°, 90.00° and 90.00°. Symmetry generates all atoms from Al at (0.000, 0.000, 0.000), Al at (0.500, 0.500, 0.230), Mo at (0.500, 0.500, 0.788) and Br at (0.000, 0.000, 0.582).

***

(10)
Al2MoBr | GGA-PBEsol | relaxed

Its energy relative to the elements, uncorrected is 639 meV per atom. For the energy above the lowest structure with this stoichiometry, the calculation gives 0.405 eV/atom. For the magnetic moment, the calculation gives 2.5 Bohr magnetons per cell. The calculation puts the density of states at the Fermi level at 21.42 states/eV per cell.

The structure belongs to space group F-43m (No. 216); the cell edges are 6.439, 6.439 and 6.439 Å and the angles 90.00°, 90.00° and 90.00°. Symmetry generates all atoms from Al at (0.000, 0.000, 0.000), Al at (0.250, 0.250, 0.250), Mo at (0.000, 0.000, 0.500) and Br at (0.250, 0.250, 0.750).

***

(11)
Al2MoBr | GGA-PBEsol | relaxed

Its energy relative to the elements, uncorrected is 601 meV per atom. For the energy above the lowest structure with this stoichiometry, the calculation gives 0.368 eV/atom. For the magnetic moment, the calculation gives 1.7 Bohr magnetons per cell. The calculation puts the density of states at the Fermi level at 6.11 states/eV per cell.

The structure belongs to space group I-4m2 (No. 119); the cell edges are 4.043, 4.043 and 8.282 Å and the angles 90.00°, 90.00° and 90.00°. Symmetry generates all atoms from Al at (0.000, 0.000, 0.000), Al at (0.000, 0.500, 0.250), Mo at (0.000, 0.500, 0.750) and Br at (0.000, 0.000, 0.500).

***

(12)
AlMo2Br | GGA-PBEsol | relaxed

Its energy relative to the elements, uncorrected is 702 meV per atom. For the energy above the lowest structure with this stoichiometry, the calculation gives 0.357 eV/atom. For the magnetic moment, the calculation gives 0.0 Bohr magnetons per cell. The calculation puts the density of states at the Fermi level at 16.13 states/eV per cell.

The structure belongs to space group Fm-3m (No. 225); the cell edges are 6.265, 6.265 and 6.265 Å and the angles 90.00°, 90.00° and 90.00°. Symmetry generates all atoms from Al at (0.000, 0.000, 0.000), Mo at (0.250, 0.250, 0.250) and Br at (0.000, 0.000, 0.500).